(1)
First-principles (PBE) data for a relaxed Nb2AlB6 crystal, as listed in Alexandria.

Summary:
N(E_F)   3.2 states/eV/cell
Offset from the most stable computed form   0 meV/atom
Volume   9.2 A^3/atom
Final energy   -68.24 eV/cell
Formation enthalpy at 0 K   -0.48 eV per atom

abc: 3.0427 3.0427 10.2783
angles: 90.00 90.00 120.00
Atoms (fractional coordinates):
Nb 0.0000 0.0000 0.3351
B 0.3333 0.6667 0.1587
B 0.3333 0.6667 0.5000
Nb 0.0000 0.0000 0.6649
Al 0.0000 0.0000 0.0000
B 0.6667 0.3333 0.5000
B 0.3333 0.6667 0.8413
B 0.6667 0.3333 0.8413
B 0.6667 0.3333 0.1587

(2)
First-principles (PBE) data for a relaxed TiSnSe3 crystal, as listed in Alexandria.

Summary:
N(E_F)   1.1 states/eV/cell
Offset from the most stable computed form   0 meV/atom
Uncorrected formation energy   -4.12 eV per formula unit
Volume   25.7 A^3/atom
Final energy   -105.89 eV/cell

abc: 3.7432 9.5501 14.3644
angles: 90.00 90.00 90.00
Atoms (fractional coordinates):
Se 0.7500 0.7483 0.2124
Sn 0.2500 0.5563 0.1611
Ti 0.7500 0.8481 0.0454
Se 0.2500 0.2517 0.7876
Ti 0.2500 0.1519 0.9546
Se 0.2500 0.0141 0.1066
Se 0.2500 0.1826 0.5149
Se 0.2500 0.5141 0.3934
Ti 0.2500 0.6519 0.5454
Se 0.2500 0.6826 0.9851
Sn 0.7500 0.9437 0.6611
Sn 0.7500 0.4437 0.8389
Se 0.7500 0.8174 0.4851
Se 0.7500 0.4859 0.6066
Ti 0.7500 0.3481 0.4546
Se 0.2500 0.7517 0.7124
Sn 0.2500 0.0563 0.3389
Se 0.7500 0.2483 0.2876
Se 0.7500 0.3174 0.0149
Se 0.7500 0.9859 0.8934

(3)
First-principles (PBE) data for a relaxed La2Sb2Rh3 crystal, as listed in Alexandria.

Summary:
N(E_F)   5.3 states/eV/cell
Offset from the most stable computed form   63 meV/atom
Uncorrected formation energy   -5.59 eV per formula unit
Volume   22.3 A^3/atom
Final energy   -45.74 eV/cell

abc: 4.0229 6.1686 7.3439
angles: 113.52 90.00 109.03
Atoms (fractional coordinates):
La 0.1211 0.2422 0.7640
Rh 0.6077 0.2153 0.4365
La 0.8789 0.7578 0.2360
Rh 0.3923 0.7847 0.5635
Sb 0.8423 0.6846 0.7591
Rh 0.5000 0.0000 0.0000
Sb 0.1577 0.3154 0.2409